# 1
An optimized crystal structure of Pm3Y3Ho8. Source: Alexandria via LeMat-Bulk, functional PBE-GGA.

## Properties
The crystal system is orthorhombic. For the total energy, the calculation gives -4.907 eV per atom. As for the space group: Immm, No. 71. For the formation energy from the elements, the calculation gives 0.112 eV/atom.

Lattice parameters (Å, degrees): 9.6529 9.6529 9.6529 146.03 111.60 78.61
Last column: nearest neighbours and their distance in Å.
Element x y z (fractional)
Pm: 0.0000 0.0000 0.0000  4 Y 3.57, 4 Pm 3.94
Pm: 0.1838 0.6838 0.5000  2 Y 3.52, 8 Ho 3.60-3.74, 2 Pm 3.94
Pm: 0.8162 0.3162 0.5000  2 Y 3.52, 8 Ho 3.60-3.74, 2 Pm 3.94
Y: 0.2023 0.5000 0.7023  1 Y 3.23, 4 Pm 3.52-3.57, 4 Ho 3.56
Y: 0.5000 0.5000 0.0000  2 Y 3.23
Y: 0.7977 0.5000 0.2977  1 Y 3.23, 4 Pm 3.52-3.57, 4 Ho 3.56
Ho: 0.1180 0.2779 0.8401  6 Ho 3.28-3.53, 2 Pm 3.60, 1 Y 3.64
Ho: 0.2396 0.8969 0.3427  5 Ho 3.08-3.41
Ho: 0.4377 0.2779 0.1599  6 Ho 3.28-3.53, 2 Pm 3.60, 1 Y 3.64
Ho: 0.4458 0.1031 0.3427  5 Ho 3.08-3.41
Ho: 0.5542 0.8969 0.6573  5 Ho 3.08-3.41
Ho: 0.5623 0.7221 0.8401  6 Ho 3.28-3.53, 2 Pm 3.60, 1 Y 3.64
Ho: 0.7604 0.1031 0.6573  5 Ho 3.08-3.41
Ho: 0.8820 0.7221 0.1599  6 Ho 3.28-3.53, 2 Pm 3.60, 1 Y 3.64

---

# 2
An optimized crystal structure of SrCd3Pt2. Source: Alexandria via LeMat-Bulk, functional PBE-GGA.

## Properties
The crystal system is monoclinic. For the total energy, the calculation gives -3.217 eV per atom. As for the space group: C2/m, No. 12. For the formation energy from the elements, the calculation gives -0.466 eV/atom.

Lattice parameters (Å, degrees): 8.5777 8.5777 8.9668 118.48 118.48 30.00
Last column: nearest neighbours and their distance in Å.
Element x y z (fractional)
Sr: 0.1429 0.1429 0.0950  6 Pt 3.26-3.37, 3 Cd 3.43-3.65
Sr: 0.8571 0.8571 0.9050  6 Pt 3.26-3.37, 3 Cd 3.43-3.65
Cd: 0.0207 0.0207 0.3532  3 Pt 2.81, 3 Cd 3.03
Cd: 0.3211 0.3211 0.5468  4 Pt 2.78-2.85, 2 Cd 3.04
Cd: 0.3787 0.3787 0.2566  3 Pt 2.75, 2 Cd 3.03
Cd: 0.6213 0.6213 0.7434  3 Pt 2.75, 2 Cd 3.03
Cd: 0.6789 0.6789 0.4532  4 Pt 2.78-2.85, 2 Cd 3.04
Cd: 0.9793 0.9793 0.6468  3 Pt 2.81, 3 Cd 3.03
Pt: 0.1900 0.1900 0.6626  6 Cd 2.75-2.85
Pt: 0.4912 0.4912 0.8488  1 Pt 2.58, 4 Cd 2.75-2.81
Pt: 0.5088 0.5088 0.1512  1 Pt 2.58, 4 Cd 2.75-2.81
Pt: 0.8100 0.8100 0.3374  6 Cd 2.75-2.85

---

# 3
An optimized crystal structure of AcErTh2N4. Source: Alexandria via LeMat-Bulk, functional PBE-GGA.

## Properties
The crystal system is monoclinic. The calculation puts the formation energy from raw total energies at -138.7 kJ/mol of atoms. For the total energy, the calculation gives -8.540 eV per atom. As for the space group: P2/m, No. 10.

Lattice parameters (Å, degrees): 6.3201 3.6734 6.4042 90.00 109.45 90.00
Last column: nearest neighbours and their distance in Å.
Element x y z (fractional)
Ac: 0.0000 0.0000 0.0000  6 N 2.69-2.71
Er: 0.0000 0.5000 0.5000  6 N 2.58-2.59
Th: 0.5000 0.0000 0.5000  6 N 2.49-2.50
Th: 0.5000 0.5000 0.0000  6 N 2.61-2.62
N: 0.2560 0.0000 0.7379  3 Th 2.50-2.62, 2 Er 2.58, 1 Ac 2.69
N: 0.2700 0.5000 0.2719  3 Th 2.49-2.61, 1 Er 2.59, 2 Ac 2.71
N: 0.7300 0.5000 0.7281  3 Th 2.49-2.61, 1 Er 2.59, 2 Ac 2.71
N: 0.7440 0.0000 0.2621  3 Th 2.50-2.62, 2 Er 2.58, 1 Ac 2.69

---

# 4
An optimized crystal structure of NdErPd. Source: Alexandria via LeMat-Bulk, functional PBE-GGA.

## Properties
The crystal system is trigonal. For the total energy, the calculation gives -5.236 eV per atom. As for the space group: P3m1, No. 156. For the formation energy from the elements, the calculation gives -0.395 eV/atom.

Lattice parameters (Å, degrees): 4.7826 4.7826 3.9913 90.00 90.00 120.00
Last column: nearest neighbours and their distance in Å.
Element x y z (fractional)
Nd: 0.0000 0.0000 0.0000  3 Pd 3.11, 6 Er 3.35-3.47
Er: 0.6667 0.3333 0.5248  3 Pd 2.84
Pd: 0.3333 0.6667 0.3608  3 Er 2.84, 3 Nd 3.11

---

# 5
An optimized crystal structure of ReMoSeN2. Source: Alexandria via LeMat-Bulk, functional PBE-GGA.

## Properties
The crystal system is tetragonal. The calculation puts the formation energy from raw total energies at 115.9 kJ/mol of atoms. For the total energy, the calculation gives -7.482 eV per atom. As for the space group: P4/mmm, No. 123.

Lattice parameters (Å, degrees): 3.8845 3.8845 5.4244 90.00 90.00 90.00
Last column: nearest neighbours and their distance in Å.
Element x y z (fractional)
Re: 0.0000 0.0000 0.0000  4 Se 2.75
Mo: 0.5000 0.5000 0.5000  4 N 1.94
Se: 0.5000 0.5000 0.0000  2 Mo 2.71, 4 Re 2.75
N: 0.0000 0.5000 0.5000  2 Mo 1.94
N: 0.5000 0.0000 0.5000  2 Mo 1.94

---

# 6
An optimized crystal structure of ScSbPtI2. Source: Alexandria via LeMat-Bulk, functional PBE-GGA.

## Properties
The crystal system is tetragonal. The calculation puts the formation energy from raw total energies at 20.1 kJ/mol of atoms. For the total energy, the calculation gives -3.710 eV per atom. As for the space group: P4/mmm, No. 123.

Lattice parameters (Å, degrees): 5.3984 5.3984 5.3549 90.00 90.00 90.00
Last column: nearest neighbours and their distance in Å.
Element x y z (fractional)
Sc: 0.0000 0.0000 0.0000  8 I 3.80, 4 Sb 3.82
Sb: 0.5000 0.5000 0.0000  2 Pt 2.68
Pt: 0.5000 0.5000 0.5000  2 Sb 2.68, 4 I 2.70
I: 0.0000 0.5000 0.5000  2 Pt 2.70
I: 0.5000 0.0000 0.5000  2 Pt 2.70

---

# 7
An optimized crystal structure of Th2PaSb. Source: Alexandria via LeMat-Bulk, functional PBE-GGA.

## Properties
The crystal system is tetragonal. The calculation puts the formation energy from raw total energies at -19.5 kJ/mol of atoms. For the total energy, the calculation gives -7.316 eV per atom. As for the space group: P4/mmm, No. 123.

Lattice parameters (Å, degrees): 4.0670 4.0670 6.9793 90.00 90.00 90.00
Last column: nearest neighbours and their distance in Å.
Element x y z (fractional)
Th: 0.0000 0.0000 0.2502  4 Sb 3.36, 4 Pa 3.36, 2 Th 3.49
Th: 0.0000 0.0000 0.7498  4 Sb 3.36, 4 Pa 3.36, 2 Th 3.49
Pa: 0.5000 0.5000 0.0000  8 Th 3.36, 2 Sb 3.49
Sb: 0.5000 0.5000 0.5000  8 Th 3.36, 2 Pa 3.49

---

# 8
An optimized crystal structure of ThMg4Cd5. Source: Alexandria via LeMat-Bulk, functional PBE-GGA.

## Properties
The crystal system is tetragonal. For the total energy, the calculation gives -1.948 eV per atom. As for the space group: P4/mmm, No. 123. For the formation energy from the elements, the calculation gives -0.111 eV/atom.

Lattice parameters (Å, degrees): 3.6322 3.6322 17.3579 90.00 90.00 90.00
Last column: nearest neighbours and their distance in Å.
Element x y z (fractional)
Th: 0.0000 0.0000 0.0000  8 Cd 3.37, 4 Th 3.63, 2 Mg 3.77
Mg: 0.0000 0.0000 0.2173  8 Cd 3.02-3.05, 1 Mg 3.29
Mg: 0.0000 0.0000 0.4069  8 Cd 3.03-3.05, 2 Mg 3.23-3.29
Mg: 0.0000 0.0000 0.5931  8 Cd 3.03-3.05, 2 Mg 3.23-3.29
Mg: 0.0000 0.0000 0.7827  8 Cd 3.02-3.05, 1 Mg 3.29
Cd: 0.5000 0.5000 0.1255  4 Mg 3.02, 1 Cd 3.25, 4 Th 3.37
Cd: 0.5000 0.5000 0.3125  8 Mg 3.05, 2 Cd 3.25
Cd: 0.5000 0.5000 0.5000  8 Mg 3.03, 2 Cd 3.25
Cd: 0.5000 0.5000 0.6875  8 Mg 3.05, 2 Cd 3.25
Cd: 0.5000 0.5000 0.8745  4 Mg 3.02, 1 Cd 3.25, 4 Th 3.37

---

# 9
An optimized crystal structure of VTcSb2. Source: Alexandria via LeMat-Bulk, functional PBE-GGA.

## Properties
The crystal system is cubic. The calculation puts the formation energy from raw total energies at 13.2 kJ/mol of atoms. For the total energy, the calculation gives -6.795 eV per atom. As for the space group: Fm-3m, No. 225.

Lattice parameters (Å, degrees): 4.6700 4.6700 4.6700 60.00 60.00 60.00
Last column: nearest neighbours and their distance in Å.
Element x y z (fractional)
V: 0.0000 0.0000 0.0000  8 Sb 2.86
Tc: 0.5000 0.5000 0.5000  8 Sb 2.86
Sb: 0.2500 0.2500 0.2500  4 Tc 2.86, 4 V 2.86
Sb: 0.7500 0.7500 0.7500  4 Tc 2.86, 4 V 2.86

---

# 10
An optimized crystal structure of BaCaIn2Ag4. Source: Alexandria via LeMat-Bulk, functional PBE-GGA.

## Properties
The crystal system is trigonal. For the total energy, the calculation gives -2.853 eV per atom. As for the space group: R-3m, No. 166. For the formation energy from the elements, the calculation gives -0.253 eV/atom.

Lattice parameters (Å, degrees): 10.3619 10.3619 10.3619 27.37 27.37 27.37
Last column: nearest neighbours and their distance in Å.
Element x y z (fractional)
Ba: 0.0000 0.0000 0.0000  8 Ag 3.50
Ca: 0.5000 0.5000 0.5000  8 Ag 2.93-3.20
In: 0.2377 0.2377 0.2377  6 Ag 2.90-2.94
In: 0.7623 0.7623 0.7623  6 Ag 2.90-2.94
Ag: 0.1170 0.1170 0.1170  3 In 2.90, 3 Ag 3.18, 3 Ca 3.20
Ag: 0.4020 0.4020 0.4020  1 Ca 2.93, 3 In 2.94, 3 Ag 3.18
Ag: 0.5980 0.5980 0.5980  1 Ca 2.93, 3 In 2.94, 3 Ag 3.18
Ag: 0.8830 0.8830 0.8830  3 In 2.90, 3 Ag 3.18, 3 Ca 3.20